Entry 1:
# ZrBe2NiB (GGA-PBE, optimized geometry)
# Total magnetization in Bohr magnetons per cell: 0.0
# Theoretical density in g/cm³: 5.5
# SG: No. 44
# Total DFT energy (no corrections) in eV per atom: -6.1272
data_ZrBe2NiB
_chemical_formula_sum 'Zr1 Be2 Ni1 B1'
_space_group_name_H-M_alt 'P 1'
_space_group_IT_number 1
_space_group_name_Hall 'P 1'
_cell_length_a 3.431
_cell_length_b 3.435
_cell_length_c 5.178
_cell_angle_alpha 109.37
_cell_angle_beta 109.35
_cell_angle_gamma 90.00
loop_
_atom_site_label
_atom_site_type_symbol
_atom_site_fract_x
_atom_site_fract_y
_atom_site_fract_z
B1 B 0.831 0.831 0.662
Zr1 Zr 0.434 0.434 0.869
Ni1 Ni 0.197 0.697 0.395
Be1 Be 0.048 0.048 0.097
Be2 Be 0.701 0.201 0.403



Entry 2:
# ThZn4Cu8 (GGA-PBE, optimized geometry)
# Total magnetization in Bohr magnetons per cell: 0.0
# Theoretical density in g/cm³: 8.9
# SG: No. 139
# Total DFT energy (no corrections) in eV per atom: -3.5853
data_ThZn4Cu8
_chemical_formula_sum 'Th1 Zn4 Cu8'
_space_group_name_H-M_alt 'P 1'
_space_group_IT_number 1
_space_group_name_Hall 'P 1'
_cell_length_a 4.927
_cell_length_b 6.646
_cell_length_c 6.646
_cell_angle_alpha 82.10
_cell_angle_beta 68.24
_cell_angle_gamma 68.24
loop_
_atom_site_label
_atom_site_type_symbol
_atom_site_fract_x
_atom_site_fract_y
_atom_site_fract_z
Cu1 Cu 0.500 0.777 0.223
Zn1 Zn 0.500 0.000 0.500
Zn2 Zn 0.000 0.000 0.500
Cu2 Cu 0.500 0.223 0.777
Th1 Th 0.000 0.000 0.000
Zn3 Zn 0.500 0.500 0.000
Cu3 Cu 0.644 0.356 0.356
Cu4 Cu 0.000 0.356 0.644
Cu5 Cu 0.277 0.223 0.223
Zn4 Zn 0.000 0.500 0.000
Cu6 Cu 0.000 0.644 0.356
Cu7 Cu 0.356 0.644 0.644
Cu8 Cu 0.723 0.777 0.777